Computed, not measured: a relaxed LiSmFeSe3 crystal at the PBE level of DFT.

```
LiSmFeSe3
1.0
2.005 -6.401 0.000
2.005 6.401 0.000
0.000 0.000 11.020
Fe Li Se Sm
2 2 6 2
Cartesian
2.005 -0.288 2.755
2.005 0.288 8.265
2.005 3.534 2.755
2.005 -3.534 8.265
2.005 -1.877 0.933
2.005 -5.228 2.755
2.005 -1.877 4.577
2.005 1.877 6.443
2.005 5.228 8.265
2.005 1.877 10.088
0.000 0.000 0.000
0.000 0.000 5.510
```

Output
E in eV/atom: -5.30
Volume in Å³/f.u.: 141.5